VASP calculation (PBE) on a relaxed structure of LiGaMoRu.

Cell: 6.0517 6.0517 6.0517 Å, 90.00 90.00 90.00°
Last column: nearest neighbours and their distance in Å.
Atoms (fractional coordinates):
1 Li 0.0000 0.0000 0.0000  4 Mo 2.62, 4 Ga 2.62
2 Li 0.0000 0.5000 0.5000  4 Mo 2.62, 4 Ga 2.62
3 Li 0.5000 0.0000 0.5000  4 Mo 2.62, 4 Ga 2.62
4 Li 0.5000 0.5000 0.0000  4 Mo 2.62, 4 Ga 2.62
5 Ga 0.2500 0.2500 0.7500  4 Li 2.62, 4 Ru 2.62
6 Ga 0.2500 0.7500 0.2500  4 Li 2.62, 4 Ru 2.62
7 Ga 0.7500 0.2500 0.2500  4 Li 2.62, 4 Ru 2.62
8 Ga 0.7500 0.7500 0.7500  4 Li 2.62, 4 Ru 2.62
9 Mo 0.2500 0.2500 0.2500  4 Li 2.62, 4 Ru 2.62
10 Mo 0.2500 0.7500 0.7500  4 Li 2.62, 4 Ru 2.62
11 Mo 0.7500 0.2500 0.7500  4 Li 2.62, 4 Ru 2.62
12 Mo 0.7500 0.7500 0.2500  4 Li 2.62, 4 Ru 2.62
13 Ru 0.0000 0.0000 0.5000  4 Mo 2.62, 4 Ga 2.62
14 Ru 0.0000 0.5000 0.0000  4 Mo 2.62, 4 Ga 2.62
15 Ru 0.5000 0.0000 0.0000  4 Mo 2.62, 4 Ga 2.62
16 Ru 0.5000 0.5000 0.5000  4 Mo 2.62, 4 Ga 2.62

Calculated values
calculated volume: 221.6 Å³ per cell
SG: F-43m (216)
formation enthalpy at 0 K: -237 meV/atom

VASP calculation (PBE) on a relaxed structure of LiGaMoSe2.

Cell: 4.8424 4.8424 4.3029 Å, 90.00 90.00 90.00°
Last column: nearest neighbours and their distance in Å.
Atoms (fractional coordinates):
1 Li 0.0000 0.0000 0.0000  2 Ga 2.15
2 Ga 0.0000 0.0000 0.5000  2 Li 2.15
3 Mo 0.5000 0.5000 0.5000  8 Se 3.24, 4 Ga 3.42
4 Se 0.0000 0.5000 0.0000  2 Li 2.42
5 Se 0.5000 0.0000 0.0000  2 Li 2.42

Calculated values
calculated volume: 100.9 Å³ per cell
raw total energy: -20.168 eV per formula unit
SG: P4/mmm (123)

VASP calculation (PBE) on a relaxed structure of Li3GaN.

Cell: 4.6204 4.6204 4.6204 Å, 90.00 90.00 90.00°
Last column: nearest neighbours and their distance in Å.
Atoms (fractional coordinates):
1 Li 0.0000 0.0000 0.5000  2 Ga 2.31
2 Li 0.0000 0.5000 0.0000  2 Ga 2.31
3 Li 0.5000 0.0000 0.0000  2 Ga 2.31
4 Ga 0.0000 0.0000 0.0000  6 Li 2.31
5 N 0.5000 0.5000 0.5000  12 Li 3.27

Calculated values
calculated volume: 98.6 Å³ per cell
excess energy over the best structure of this formula in the dataset: 1316.7 meV/atom
SG: Pm-3m (221)

VASP calculation (PBE) on a relaxed structure of Li3GaN.

Cell: 3.9973 3.9973 3.9973 Å, 90.00 90.00 90.00°
Last column: nearest neighbours and their distance in Å.
Atoms (fractional coordinates):
1 Li 0.0000 0.0000 0.5000  2 N 2.00
2 Li 0.0000 0.5000 0.0000  2 N 2.00
3 Li 0.5000 0.0000 0.0000  2 N 2.00
4 Ga 0.5000 0.5000 0.5000  12 Li 2.83
5 N 0.0000 0.0000 0.0000  6 Li 2.00

Calculated values
calculated volume: 63.9 Å³ per cell
excess energy over the best structure of this formula in the dataset: 0.0 meV/atom
SG: Pm-3m (221)